Entry 1:
{"formula": "Cd12Au3N5", "functional": "GGA-PBE", "state": "relaxed", "cell": [[-3.2153, 5.4902, 11.0213], [9.1660, -8.5859, 2.0530], [4.2313, 8.8718, -8.0831]], "species": ["Au", "Au", "Au", "Au", "Au", "Au", "Au", "Au", "Au", "Au", "Au", "Au", "N", "N", "N", "N", "N", "N", "N", "N", "N", "N", "N", "N", "N", "N", "N", "N", "N", "N", "N", "N", "Cd", "Cd", "Cd", "Cd", "Cd", "Cd", "Cd", "Cd", "Cd", "Cd", "Cd", "Cd", "Cd", "Cd", "Cd", "Cd", "Cd", "Cd", "Cd", "Cd", "Cd", "Cd", "Cd", "Cd", "Cd", "Cd", "Cd", "Cd", "Cd", "Cd", "Cd", "Cd", "Cd", "Cd", "Cd", "Cd", "Cd", "Cd", "Cd", "Cd", "Cd", "Cd", "Cd", "Cd", "Cd", "Cd", "Cd", "Cd"], "frac_coords": [[0.7500, 0.3750, 0.1250], [0.8750, 0.7500, 0.1250], [0.3750, 0.7500, 0.6250], [0.2500, 0.1250, 0.3750], [0.8750, 0.1250, 0.2500], [0.3750, 0.6250, 0.2500], [0.6250, 0.3750, 0.7500], [0.1250, 0.8750, 0.7500], [0.7500, 0.8750, 0.6250], [0.6250, 0.2500, 0.3750], [0.1250, 0.2500, 0.8750], [0.2500, 0.6250, 0.8750], [0.1250, 0.3750, 0.2500], [0.0000, 0.5000, 0.0000], [0.0000, 0.0000, 0.0000], [0.3750, 0.2500, 0.1250], [0.5000, 0.0000, 0.5000], [0.5000, 0.5000, 0.0000], [0.1250, 0.7500, 0.3750], [0.7500, 0.1250, 0.8750], [0.7500, 0.6250, 0.3750], [0.3750, 0.1250, 0.7500], [0.6250, 0.8750, 0.2500], [0.5000, 0.5000, 0.5000], [0.5000, 0.0000, 0.0000], [0.0000, 0.0000, 0.5000], [0.2500, 0.3750, 0.6250], [0.2500, 0.8750, 0.1250], [0.0000, 0.5000, 0.5000], [0.8750, 0.2500, 0.6250], [0.6250, 0.7500, 0.8750], [0.8750, 0.6250, 0.7500], [0.7054, 0.1121, 0.0245], [0.3192, 0.5245, 0.4125], [0.9755, 0.3879, 0.2946], [0.5245, 0.2054, 0.1121], [0.5933, 0.7054, 0.6808], [0.9755, 0.5875, 0.1808], [0.3192, 0.7946, 0.4067], [0.0875, 0.9067, 0.1121], [0.5875, 0.9755, 0.6808], [0.7054, 0.5933, 0.1808], [0.7946, 0.4755, 0.3879], [0.8192, 0.9125, 0.0245], [0.1121, 0.7054, 0.5245], [0.3879, 0.4125, 0.0933], [0.0933, 0.9125, 0.3879], [0.4067, 0.1121, 0.5875], [0.0933, 0.1808, 0.2054], [0.4755, 0.6808, 0.0875], [0.8192, 0.9067, 0.2946], [0.1121, 0.4067, 0.0875], [0.3879, 0.9755, 0.7946], [0.5875, 0.6121, 0.4067], [0.9125, 0.8192, 0.5245], [0.7946, 0.3192, 0.9067], [0.4125, 0.3879, 0.5933], [0.0875, 0.1808, 0.4755], [0.2054, 0.6808, 0.0933], [0.1808, 0.0933, 0.7054], [0.6121, 0.0245, 0.2054], [0.8879, 0.5933, 0.9125], [0.5245, 0.3192, 0.9125], [0.5933, 0.8879, 0.4125], [0.9067, 0.8192, 0.7946], [0.9067, 0.0875, 0.6121], [0.8879, 0.2946, 0.4755], [0.1808, 0.0875, 0.9755], [0.6121, 0.5875, 0.9067], [0.4125, 0.0245, 0.3192], [0.2946, 0.4067, 0.8192], [0.2054, 0.5245, 0.6121], [0.9125, 0.0933, 0.8879], [0.6808, 0.2054, 0.5933], [0.4755, 0.7946, 0.8879], [0.0245, 0.4125, 0.8192], [0.4067, 0.2946, 0.3192], [0.0245, 0.6121, 0.7054], [0.6808, 0.4755, 0.5875], [0.2946, 0.8879, 0.9755]], "raw_formation_energy_kj_per_mol_atoms": 32, "crystal_system": "cubic", "space_group": "Ia-3d (230)", "volume_a3_per_atom": 19.83, "e_tot_ev_per_atom": -2.789, "magnetic_moment_mub_per_fu": 0.00}

---

Entry 2:
{"formula": "CdAu2N", "functional": "GGA-PBE", "state": "relaxed", "cell": [[2.3956, 1.2452, 3.6545], [-0.8891, 3.9503, 2.0614], [-1.9607, 0.0329, 4.0987]], "species": ["N", "Au", "Au", "Cd"], "frac_coords": [[0.0000, 0.0000, 0.0000], [0.2500, 0.2500, 0.2500], [0.7500, 0.7500, 0.7500], [0.5000, 0.5000, 0.5000]], "raw_formation_energy_kj_per_mol_atoms": 104, "relative_energy_mev_per_atom": 439.4, "crystal_system": "cubic", "space_group": "Fm-3m (225)", "volume_a3_per_atom": 16.58, "e_tot_ev_per_atom": -2.874, "magnetic_moment_mub_per_fu": 0.83}

---

Entry 3:
{"formula": "Cd3AuN", "functional": "GGA-PBE", "state": "relaxed", "cell": [[5.2316, 0.0000, 0.0000], [0.0000, 5.2316, 0.0000], [0.0000, 0.0000, 5.2316]], "species": ["N", "Au", "Cd", "Cd", "Cd"], "frac_coords": [[0.5000, 0.5000, 0.5000], [0.0000, 0.0000, 0.0000], [0.0000, 0.5000, 0.0000], [0.0000, 0.0000, 0.5000], [0.5000, 0.0000, 0.0000]], "raw_formation_energy_kj_per_mol_atoms": 121, "relative_energy_mev_per_atom": 942.7, "crystal_system": "cubic", "space_group": "Pm-3m (221)", "volume_a3_per_atom": 28.64, "e_tot_ev_per_atom": -1.618, "magnetic_moment_mub_per_fu": 0.00}

---

Entry 4:
{"formula": "Cd4Ni12AuN3", "functional": "GGA-PBE", "state": "relaxed", "cell": [[7.0185, 0.0000, 0.0000], [-2.3395, 6.6171, 0.0000], [-2.3395, -3.3085, 5.7305]], "species": ["Cd", "Cd", "Cd", "Cd", "Ni", "Ni", "Ni", "Ni", "Ni", "Ni", "Ni", "Ni", "Ni", "Ni", "Ni", "Ni", "Au", "N", "N", "N"], "frac_coords": [[0.5000, 0.5000, 0.5000], [0.0000, 0.0000, 0.5000], [0.5000, 0.0000, 0.0000], [0.0000, 0.5000, 0.0000], [0.2500, 0.5000, 0.7500], [0.7105, 0.0000, 0.7105], [0.2895, 0.0000, 0.2895], [0.7500, 0.5000, 0.2500], [0.7105, 0.7105, 0.0000], [0.2895, 0.2895, 0.0000], [0.7500, 0.2500, 0.5000], [0.2500, 0.7500, 0.5000], [0.5000, 0.2500, 0.7500], [0.0000, 0.7105, 0.7105], [0.5000, 0.7500, 0.2500], [0.0000, 0.2895, 0.2895], [0.0000, 0.0000, 0.0000], [0.5000, 0.0000, 0.5000], [0.5000, 0.5000, 0.0000], [0.0000, 0.5000, 0.5000]], "raw_formation_energy_kj_per_mol_atoms": 15, "crystal_system": "cubic", "space_group": "Im-3m (229)", "volume_a3_per_atom": 13.31, "e_tot_ev_per_atom": -4.914, "magnetic_moment_mub_per_fu": 0.00}

---

Entry 5:
{"formula": "CdAuNO2", "functional": "GGA-PBE", "state": "relaxed", "cell": [[-1.3478, 3.5718, -1.8624], [-1.9795, -2.2976, -2.9741], [-3.5075, -0.0757, 2.3931]], "species": ["N", "Au", "O", "O", "Cd"], "frac_coords": [[0.0000, 0.0000, 0.5000], [0.5000, 0.5000, 0.5000], [0.0000, 0.5000, 0.0000], [0.5000, 0.0000, 0.0000], [0.0000, 0.0000, 0.0000]], "raw_formation_energy_kj_per_mol_atoms": 121, "crystal_system": "tetragonal", "space_group": "P4/mmm (123)", "volume_a3_per_atom": 15.32, "e_tot_ev_per_atom": -3.230, "magnetic_moment_mub_per_fu": 3.04}

---

Entry 6:
{"formula": "CdAuNO2", "functional": "GGA-PBE", "state": "relaxed", "cell": [[-0.3936, -4.1923, 0.8890], [1.6866, 0.6692, 3.9023], [-3.4650, 0.6203, 1.3912]], "species": ["N", "Au", "O", "O", "Cd"], "frac_coords": [[0.0000, 0.0000, 0.5000], [0.0000, 0.0000, 0.0000], [0.0000, 0.5000, 0.0000], [0.5000, 0.0000, 0.0000], [0.5000, 0.5000, 0.5000]], "raw_formation_energy_kj_per_mol_atoms": 74, "crystal_system": "tetragonal", "space_group": "P4/mmm (123)", "volume_a3_per_atom": 14.02, "e_tot_ev_per_atom": -3.717, "magnetic_moment_mub_per_fu": 0.62}

---

Entry 7:
{"formula": "PaCdAuN", "functional": "GGA-PBE", "state": "relaxed", "cell": [[4.0452, 0.0000, 0.0000], [0.0000, 4.0452, 0.0000], [0.0000, 0.0000, 9.4568]], "species": ["Pa", "Pa", "Cd", "Cd", "Au", "Au", "N", "N"], "frac_coords": [[0.0000, 0.5000, 0.8838], [0.5000, 0.0000, 0.1162], [0.0000, 0.0000, 0.5000], [0.5000, 0.5000, 0.5000], [0.5000, 0.0000, 0.7201], [0.0000, 0.5000, 0.2799], [0.5000, 0.5000, 0.0000], [0.0000, 0.0000, 0.0000]], "raw_formation_energy_kj_per_mol_atoms": -85, "crystal_system": "tetragonal", "space_group": "P4/nmm (129)", "volume_a3_per_atom": 19.34, "e_tot_ev_per_atom": -6.389, "magnetic_moment_mub_per_fu": 0.00}

---

Entry 8:
{"formula": "CdPdAuN2", "functional": "GGA-PBE", "state": "relaxed", "cell": [[-2.8209, -2.3544, 1.6376], [3.2881, -4.3612, -0.6062], [1.5594, 0.6687, 3.6474]], "species": ["N", "N", "Au", "Pd", "Cd"], "frac_coords": [[0.0000, 0.0000, 0.5000], [0.5000, 0.0000, 0.0000], [0.0000, 0.0000, 0.0000], [0.0000, 0.5000, 0.0000], [0.5000, 0.5000, 0.5000]], "raw_formation_energy_kj_per_mol_atoms": 150, "crystal_system": "tetragonal", "space_group": "P4/mmm (123)", "volume_a3_per_atom": 17.79, "e_tot_ev_per_atom": -3.654, "magnetic_moment_mub_per_fu": 2.49}